No. 1
Entry from OQMD via LeMat-Bulk: YCoCuPb after structural relaxation (PBE-GGA).

Cell lengths 4.6939, 4.6939, 4.6939 Å; angles 60.00, 60.00, 60.00 degrees
Atoms (fractional coordinates):
Cu 0.2500 0.2500 0.2500
Co 0.7500 0.7500 0.7500
Y 0.5000 0.5000 0.5000
Pb 0.0000 0.0000 0.0000

Results
M_tot   0.945 μB/cell
Symmetry   F-43m
VASP energy   -5.281 eV/atom

=====

No. 2
Entry from OQMD via LeMat-Bulk: CoBiS2Cl after structural relaxation (PBE-GGA).

Cell lengths 8.7475, 3.7149, 12.0624 Å; angles 90.00, 90.00, 90.00 degrees
Each line ends with the local moment (μB).
Atoms (fractional coordinates):
Co 0.5097 0.7500 0.7413  0.91
Co 0.9903 0.2500 0.2413  0.93
Co 0.0097 0.7500 0.7587  0.93
Co 0.4903 0.2500 0.2587  0.91
S 0.7545 0.7500 0.8096  0.00
S 0.2545 0.7500 0.6904  0.00
S 0.0459 0.2500 0.8736  0.01
S 0.2455 0.2500 0.1904  0.00
S 0.7455 0.2500 0.3096  0.00
S 0.5459 0.2500 0.6264  0.00
S 0.4541 0.7500 0.3736  0.00
S 0.9541 0.7500 0.1264  0.01
Cl 0.0474 0.7500 0.3775  0.03
Cl 0.9526 0.2500 0.6226  0.03
Cl 0.4526 0.2500 0.8775  0.03
Cl 0.5474 0.7500 0.1226  0.03
Bi 0.7269 0.7500 0.4709  0.01
Bi 0.2269 0.7500 0.0291  0.01
Bi 0.2731 0.2500 0.5291  0.01
Bi 0.7731 0.2500 0.9709  0.01

Results
M_tot   4.017 μB/cell
Symmetry   Pnma
VASP energy   -4.617 eV/atom

=====

No. 3
Entry from OQMD via LeMat-Bulk: Nd4IBr4N2 after structural relaxation (PBE-GGA).

Cell lengths 9.7264, 9.7264, 8.6128 Å; angles 105.46, 105.46, 22.55 degrees
Atoms (fractional coordinates):
Br 0.8317 0.8317 0.6723
Br 0.8386 0.8386 0.1286
Br 0.1683 0.1683 0.3277
Br 0.1614 0.1614 0.8714
Nd 0.9995 0.9995 0.3113
Nd 0.0005 0.0005 0.6887
Nd 0.6613 0.6613 0.6026
Nd 0.3387 0.3387 0.3974
I 0.5000 0.5000 0.0000
N 0.4624 0.4624 0.4771
N 0.5376 0.5376 0.5229

Results
M_tot   0.037 μB/cell
Symmetry   C2/m
VASP energy   -5.416 eV/atom

=====

No. 4
Entry from OQMD via LeMat-Bulk: BaNaTmS3 after structural relaxation (PBE-GGA).

Cell lengths 10.3509, 4.2184, 13.7506 Å; angles 90.00, 90.00, 90.00 degrees
Atoms (fractional coordinates):
Ba 0.2494 0.2500 0.4938
Ba 0.7506 0.7500 0.5062
Ba 0.7494 0.2500 0.0062
Ba 0.2506 0.7500 0.9938
Tm 0.5028 0.7500 0.2501
Tm 0.0028 0.7500 0.2499
Tm 0.4972 0.2500 0.7499
Tm 0.9972 0.2500 0.7501
S 0.5455 0.2500 0.3804
S 0.5403 0.7500 0.8803
S 0.0403 0.7500 0.6197
S 0.9545 0.7500 0.8804
S 0.7475 0.2500 0.6753
S 0.9597 0.2500 0.3803
S 0.2475 0.2500 0.8247
S 0.0455 0.2500 0.1196
S 0.7525 0.7500 0.1753
S 0.2525 0.7500 0.3247
S 0.4545 0.7500 0.6196
S 0.4597 0.2500 0.1197
Na 0.2472 0.7500 0.7217
Na 0.7528 0.2500 0.2783
Na 0.2528 0.2500 0.2217
Na 0.7472 0.7500 0.7783

Results
M_tot   0.007 μB/cell
Symmetry   Pnma
VASP energy   -5.101 eV/atom

=====

No. 5
Entry from OQMD via LeMat-Bulk: SrErAuSe3 after structural relaxation (PBE-GGA).

Cell lengths 7.9687, 4.1031, 9.7900 Å; angles 90.00, 105.39, 90.00 degrees
Atoms (fractional coordinates):
Se 0.5728 0.2500 0.8626
Se 0.0682 0.2500 0.8504
Se 0.9318 0.7500 0.1496
Se 0.3011 0.7500 0.5384
Se 0.4272 0.7500 0.1374
Se 0.6989 0.2500 0.4616
Au 0.8917 0.7500 0.4071
Au 0.1083 0.2500 0.5929
Er 0.6860 0.2500 0.1647
Er 0.3140 0.7500 0.8353
Sr 0.2327 0.2500 0.2816
Sr 0.7673 0.7500 0.7184

Results
M_tot   0.002 μB/cell
Symmetry   P2_1/m
VASP energy   -4.798 eV/atom

=====

No. 6
Entry from OQMD via LeMat-Bulk: Ag2Te3S after structural relaxation (PBE-GGA).

Cell lengths 7.2590, 7.2590, 8.4730 Å; angles 103.14, 103.14, 117.82 degrees
Atoms (fractional coordinates):
Te 0.8776 0.6216 0.4450
Te 0.0374 0.3077 0.1133
Te 0.5033 0.9033 0.3957
Te 0.3077 0.0374 0.6133
Te 0.9033 0.5033 0.8957
Te 0.6216 0.8776 0.9450
Ag 0.6678 0.6104 0.1182
Ag 0.3106 0.9360 0.0785
Ag 0.9360 0.3106 0.5785
Ag 0.6104 0.6678 0.6182
S 0.2304 0.2736 0.4903
S 0.2736 0.2304 0.9903

Results
Symmetry   Cc
VASP energy   -3.199 eV/atom